(1)
YZnCoSi | PBE | optimized geometry

Computed properties:
Energy above the lowest structure with this stoichiometry ... 14 meV per atom

Cell: 6.2981 6.2981 6.2981 Å, 90.00 90.00 90.00°
Space group F-43m (No. 216)
One atom of each set of equivalent atoms:
Y: 0.0000 0.0000 0.0000 [4 per cell]
Zn: 0.2500 0.2500 0.2500 [4 per cell]
Co: 0.2500 0.2500 0.7500 [4 per cell]
Si: 0.0000 0.0000 0.5000 [4 per cell]

***

(2)
HgCSNCl | PBE | optimized geometry

Computed properties:
Total DFT energy (no corrections) ... -0.1738 Ha/atom

Cell: 10.5791 4.1945 10.2180 Å, 90.00 90.00 90.00°
Space group Pnma (No. 62)
One atom of each set of equivalent atoms:
Hg: 0.1407 0.2500 0.0957 [4 per cell]
C: 0.1495 0.7500 0.3854 [4 per cell]
S: 0.1358 0.7500 0.5470 [4 per cell]
N: 0.1515 0.7500 0.2698 [4 per cell]
Cl: 0.0837 0.7500 0.8735 [4 per cell]

***

(3)
NaNiTeAu | PBE | optimized geometry

Computed properties:
Energy above the lowest structure with this stoichiometry ... 192 meV per atom

Cell: 6.8042 6.8042 6.8042 Å, 90.00 90.00 90.00°
Space group F-43m (No. 216)
One atom of each set of equivalent atoms:
Na: 0.0000 0.0000 0.0000 [4 per cell]
Ni: 0.2500 0.2500 0.2500 [4 per cell]
Te: 0.2500 0.2500 0.7500 [4 per cell]
Au: 0.0000 0.0000 0.5000 [4 per cell]

***

(4)
Sr2BeFe | PBE | optimized geometry

Computed properties:
Total DFT energy (no corrections) ... -0.1086 Ha/atom

Cell: 7.0240 7.0240 7.0240 Å, 90.00 90.00 90.00°
Space group F-43m (No. 216)
One atom of each set of equivalent atoms:
Sr: 0.0000 0.0000 0.0000 [4 per cell]
Sr: 0.2500 0.2500 0.2500 [4 per cell]
Be: 0.0000 0.0000 0.5000 [4 per cell]
Fe: 0.2500 0.2500 0.7500 [4 per cell]

***

(5)
NaPrIn | PBE | optimized geometry

Computed properties:
Energy above the lowest structure with this stoichiometry ... 0 meV per atom

Cell: 7.1602 7.1602 7.1602 Å, 90.00 90.00 90.00°
Space group F-43m (No. 216)
One atom of each set of equivalent atoms:
Na: 0.0000 0.0000 0.0000 [4 per cell]
Pr: 0.2500 0.2500 0.2500 [4 per cell]
In: 0.2500 0.2500 0.7500 [4 per cell]

***

(6)
AlZnFeMo | PBE | optimized geometry

Computed properties:
Energy above the lowest structure with this stoichiometry ... 126 meV per atom

Cell: 6.0750 6.0750 6.0750 Å, 90.00 90.00 90.00°
Space group F-43m (No. 216)
One atom of each set of equivalent atoms:
Al: 0.0000 0.0000 0.0000 [4 per cell]
Zn: 0.0000 0.0000 0.5000 [4 per cell]
Fe: 0.2500 0.2500 0.2500 [4 per cell]
Mo: 0.2500 0.2500 0.7500 [4 per cell]

***

(7)
Al2TcOs | PBE | optimized geometry

Computed properties:
Total DFT energy (no corrections) ... -0.2705 Ha/atom

Cell: 6.1296 6.1296 6.1296 Å, 90.00 90.00 90.00°
Space group F-43m (No. 216)
One atom of each set of equivalent atoms:
Al: 0.0000 0.0000 0.0000 [4 per cell]
Al: 0.2500 0.2500 0.2500 [4 per cell]
Tc: 0.0000 0.0000 0.5000 [4 per cell]
Os: 0.2500 0.2500 0.7500 [4 per cell]

***

(8)
PrEr2P3 | PBE | optimized geometry

Computed properties:
Total DFT energy (no corrections) ... -0.2421 Ha/atom

Cell: 4.0470 4.0470 9.9053 Å, 90.00 90.00 120.00°
Space group P-3m1 (No. 164)
One atom of each set of equivalent atoms:
Pr: 0.0000 0.0000 0.0000 [1 per cell]
Er: 0.3333 0.6667 0.3393 [2 per cell]
P: 0.0000 0.0000 0.5000 [1 per cell]
P: 0.3333 0.6667 0.8208 [2 per cell]

***

(9)
LiNdHg3S4 | PBE | optimized geometry

Computed properties:
Total DFT energy (no corrections) ... -0.1175 Ha/atom

Cell: 6.4730 6.4730 6.4730 Å, 90.00 90.00 90.00°
Space group P-43m (No. 215)
One atom of each set of equivalent atoms:
Li: 0.0000 0.0000 0.0000 [1 per cell]
Nd: 0.5000 0.5000 0.5000 [1 per cell]
Hg: 0.0000 0.5000 0.5000 [3 per cell]
S: 0.2569 0.2569 0.2569 [4 per cell]

***

(10)
ScAgTeO | PBE | optimized geometry

Computed properties:
Energy above the lowest structure with this stoichiometry ... 0 meV per atom

Cell: 5.4562 5.4685 9.9661 Å, 90.00 90.00 90.00°
Space group Pba2 (No. 32)
One atom of each set of equivalent atoms:
Sc: 0.0000 0.0000 0.0000 [2 per cell]
Sc: 0.0000 0.5000 0.1884 [2 per cell]
Ag: 0.1994 0.1887 0.6005 [4 per cell]
Te: 0.0000 0.0000 0.3658 [2 per cell]
Te: 0.0000 0.5000 0.8152 [2 per cell]
O: 0.2489 0.2486 0.0923 [4 per cell]

***

(11)
HfMgGe2 | PBE | optimized geometry

Computed properties:
Total DFT energy (no corrections) ... -0.1820 Ha/atom

Cell: 6.7888 6.7888 6.7888 Å, 90.00 90.00 90.00°
Space group F-43m (No. 216)
One atom of each set of equivalent atoms:
Hf: 0.0000 0.0000 0.0000 [4 per cell]
Mg: 0.2500 0.2500 0.7500 [4 per cell]
Ge: 0.0000 0.0000 0.5000 [4 per cell]
Ge: 0.2500 0.2500 0.2500 [4 per cell]

***

(12)
CdGa2W | PBE | optimized geometry

Computed properties:
Total DFT energy (no corrections) ... -0.1541 Ha/atom

Cell: 6.5540 6.5540 6.5540 Å, 90.00 90.00 90.00°
Space group F-43m (No. 216)
One atom of each set of equivalent atoms:
Cd: 0.0000 0.0000 0.0000 [4 per cell]
Ga: 0.0000 0.0000 0.5000 [4 per cell]
Ga: 0.2500 0.2500 0.2500 [4 per cell]
W: 0.2500 0.2500 0.7500 [4 per cell]